1.
An optimized crystal structure of Ti5MoRu4. Source: Alexandria via LeMat-Bulk, functional PBE-GGA.

- Space group: No. 123
- ΔH_f (0 K): -0.63 eV per atom
- Total magnetization: 0.00 μB per atom

Cell and atoms, written as extended XYZ:
```
10
Lattice="-2.134 -2.225 0.161 1.000 -0.755 2.822 -10.088 10.133 6.285" Properties=species:S:1:pos:R:3 pbc="T T T"
Ti -1.611 -0.441 2.142
Ti -3.607 1.563 3.385
Ti -5.612 3.576 4.634
Ti -7.616 5.590 5.883
Ti -9.612 7.594 7.126
Mo 0.000 0.000 0.000
Ru -2.065 2.074 1.287
Ru -4.052 4.070 2.525
Ru -6.036 6.063 3.761
Ru -8.023 8.058 4.998
```

***

2.
An optimized crystal structure of Ti2MoRu. Source: Alexandria via LeMat-Bulk, functional PBE-GGA.

- Space group: No. 71
- ΔH_f (0 K): 0.36 eV per atom
- Total magnetization: 0.00 μB per atom

Cell and atoms, written as extended XYZ:
```
4
Lattice="4.595 -1.567 -2.976 -1.050 4.740 2.976 -3.163 -0.033 4.735" Properties=species:S:1:pos:R:3 pbc="T T T"
Ti -1.108 1.238 2.027
Ti -3.105 3.469 5.683
Mo 0.000 0.000 0.000
Ru -2.107 2.354 3.855
```

***

3.
An optimized crystal structure of TiMo2Ru. Source: Alexandria via LeMat-Bulk, functional PBE-GGA.

- Space group: No. 122
- ΔH_f (0 K): 0.45 eV per atom
- Total magnetization: 0.00 μB per atom

Cell and atoms, written as extended XYZ:
```
8
Lattice="7.242 0.000 0.000 0.000 7.242 0.000 3.621 3.621 2.551" Properties=species:S:1:pos:R:3 pbc="T T T"
Ru 0.000 0.000 0.000
Ru 7.242 3.621 1.275
Mo 5.589 1.811 0.638
Mo 1.653 5.432 0.638
Mo 5.432 5.274 1.913
Mo 9.053 9.210 1.913
Ti 3.621 3.621 0.000
Ti 3.621 7.242 1.275
```

***

4.
An optimized crystal structure of TiMo2Ru2. Source: Alexandria via LeMat-Bulk, functional PBE-GGA.

- Space group: No. 127
- ΔH_f (0 K): 0.08 eV per atom
- Total magnetization: 0.00 μB per atom

Cell and atoms, written as extended XYZ:
```
10
Lattice="7.405 0.000 0.000 0.000 7.405 0.000 0.000 0.000 2.895" Properties=species:S:1:pos:R:3 pbc="T T T"
Ru 2.730 6.433 0.000
Ru 6.433 4.675 0.000
Ru 4.675 0.972 0.000
Ru 0.972 2.730 0.000
Mo 1.247 4.950 1.448
Mo 4.950 6.158 1.448
Mo 6.158 2.456 1.448
Mo 2.456 1.247 1.448
Ti 0.000 0.000 0.000
Ti 3.703 3.703 0.000
```

***

5.
An optimized crystal structure of TiMo2Ru. Source: Alexandria via LeMat-Bulk, functional PBE-GGA.

- Space group: No. 225
- ΔH_f (0 K): -0.04 eV per atom
- Total magnetization: 0.00 μB per atom

Cell and atoms, written as extended XYZ:
```
4
Lattice="0.000 3.126 3.126 3.126 0.000 3.126 3.126 3.126 0.000" Properties=species:S:1:pos:R:3 pbc="T T T"
Ru 3.126 3.126 3.126
Mo 1.563 1.563 1.563
Mo 4.689 4.689 4.689
Ti 0.000 0.000 0.000
```

***

6.
An optimized crystal structure of Ti2MoRu. Source: Alexandria via LeMat-Bulk, functional PBE-GGA.

- Space group: No. 122
- ΔH_f (0 K): 0.22 eV per atom
- Total magnetization: 0.00 μB per atom

Cell and atoms, written as extended XYZ:
```
8
Lattice="-3.264 -1.359 5.960 -4.998 -3.297 -3.489 -2.748 -4.662 1.461" Properties=species:S:1:pos:R:3 pbc="T T T"
Ru 0.000 0.000 0.000
Ru -5.071 -4.174 4.328
Mo -4.131 -2.328 1.236
Mo -5.938 -5.143 -0.396
Ti -3.406 -2.449 3.753
Ti -4.164 -3.373 -1.169
Ti -5.076 -5.187 2.080
Ti -9.373 -7.625 3.200
```